1.
A relaxed structure of Ba2Al4InSi3, computed with PBE.

Summary:
raw formation energy: -0.2017 eV/atom
energy: -39.84 eV for the cell shown

a b c (Å): 4.7729 4.7729 10.2599
angles (deg): 90.00 90.00 90.00
Last column: nearest neighbours and their distance in Å.
Space group P-4m2 (No. 115)
One atom of each set of equivalent atoms:
Ba  0.0000  0.5000  0.2482  8 Al 3.49-3.59, 7 Si 3.52-3.70, 2 In 3.52
Al  0.0000  0.0000  0.0000  4 Si 2.65
Al  0.0000  0.5000  0.6331  3 Si 2.61-2.75, 2 In 2.75
Al  0.5000  0.5000  0.0000  4 Si 2.65
In  0.0000  0.0000  0.5000  4 Al 2.75
Si  0.0000  0.5000  0.8873  5 Al 2.61-2.65
Si  0.5000  0.5000  0.5000  4 Al 2.75

=====

2.
A relaxed structure of Ba3Al2InSn9, computed with PBE.

Summary:
formation energy from the elements: -132 meV per atom
energy: -54.00 eV for the cell shown

a b c (Å): 6.8657 6.8657 12.8738
angles (deg): 90.00 90.00 120.00
Last column: nearest neighbours and their distance in Å.
Space group P-3m1 (No. 164)
One atom of each set of equivalent atoms:
Ba  0.0000  0.0000  0.0000  6 Sn 3.43
Ba  0.3333  0.6667  0.7543  9 Sn 3.64-3.73
Al  0.3333  0.6667  0.1623  6 Sn 2.87-2.88
In  0.0000  0.0000  0.5000  6 Sn 3.03
Sn  0.0000  0.5000  0.0000  2 Al 2.88
Sn  0.1857  0.3713  0.3389  1 Al 2.87, 1 In 3.03, 2 Sn 3.04

=====

3.
A relaxed structure of BaSrAlIn, computed with PBE.

Summary:
formation energy from the elements: -221 meV per atom
energy: -43.88 eV for the cell shown

a b c (Å): 8.2421 8.2421 8.2421
angles (deg): 90.00 90.00 90.00
Last column: nearest neighbours and their distance in Å.
Space group F-43m (No. 216)
One atom of each set of equivalent atoms:
Ba  0.0000  0.0000  0.0000  4 In 3.57, 4 Al 3.57
Sr  0.0000  0.0000  0.5000  4 Al 3.57, 4 In 3.57
Al  0.2500  0.2500  0.2500  4 Ba 3.57, 4 Sr 3.57
In  0.2500  0.2500  0.7500  4 Ba 3.57, 4 Sr 3.57

=====

4.
A relaxed structure of Ba2AlInTc, computed with PBE.

Summary:
formation energy from the elements: 830 meV per atom
energy: -16.54 eV for the cell shown

a b c (Å): 6.5105 6.5105 5.1023
angles (deg): 90.00 90.00 90.00
Last column: nearest neighbours and their distance in Å.
Space group P4/mmm (No. 123)
One atom of each set of equivalent atoms:
Ba  0.0000  0.5000  0.0000  2 In 3.26
Al  0.0000  0.0000  0.5000  8 Ba 4.14, 4 Tc 4.60
In  0.5000  0.5000  0.0000  2 Tc 2.55
Tc  0.5000  0.5000  0.5000  2 In 2.55

=====

5.
A relaxed structure of Ba2AlInTe, computed with PBE.

Summary:
raw formation energy: -0.0499 eV/atom
energy: -13.72 eV for the cell shown

a b c (Å): 6.4074 6.4074 5.3886
angles (deg): 90.00 90.00 90.00
Last column: nearest neighbours and their distance in Å.
Space group P4/mmm (No. 123)
One atom of each set of equivalent atoms:
Ba  0.0000  0.5000  0.0000  2 Al 3.20
Al  0.0000  0.0000  0.0000  2 Te 2.69
In  0.5000  0.5000  0.5000  8 Ba 4.19, 4 Te 4.53
Te  0.0000  0.0000  0.5000  2 Al 2.69

=====

6.
A relaxed structure of Ba2Al4TlIn3, computed with PBE.

Summary:
formation energy from the elements: -237 meV per atom
energy: -31.76 eV for the cell shown

a b c (Å): 4.8247 4.8247 11.7637
angles (deg): 90.00 90.00 90.00
Last column: nearest neighbours and their distance in Å.
Space group P-4m2 (No. 115)
One atom of each set of equivalent atoms:
Ba  0.0000  0.5000  0.2476  6 In 3.68-3.83, 8 Al 3.69-3.78, 2 Tl 3.83
Al  0.0000  0.0000  0.0000  4 In 2.86
Al  0.0000  0.5000  0.6340  3 In 2.77-2.88, 2 Tl 2.88
Al  0.5000  0.5000  0.0000  4 In 2.86
Tl  0.0000  0.0000  0.5000  4 Al 2.88
In  0.0000  0.5000  0.8696  5 Al 2.77-2.86
In  0.5000  0.5000  0.5000  4 Al 2.88

=====

7.
A relaxed structure of Ba2AlTl6In, computed with PBE.

Summary:
formation energy from the elements: -124 meV per atom
energy: -154.61 eV for the cell shown

a b c (Å): 7.7343 7.7343 39.5397
angles (deg): 90.00 90.00 120.00
Last column: nearest neighbours and their distance in Å.
Space group R-3m (No. 166, hexagonal axes)
One atom of each set of equivalent atoms:
Ba  0.0000  0.0000  0.1079  12 Tl 3.91-4.04, 1 Al 4.27
Ba  0.0000  0.0000  0.2814  12 Tl 3.80-3.96
Al  0.0000  0.0000  0.0000  6 Tl 2.81
Al  0.0000  0.0000  0.5000  6 Tl 2.88, 2 In 2.95
Tl  0.0414  0.5207  0.3013  1 Al 2.81, 1 In 3.07
Tl  0.0550  0.5275  0.8643  1 Al 2.88, 1 In 3.12
In  0.0000  0.0000  0.4254  1 Al 2.95, 6 Tl 3.07-3.12

=====

8.
A relaxed structure of Ba2AlTl3In4, computed with PBE.

Summary:
formation energy from the elements: -239 meV per atom
energy: -28.03 eV for the cell shown

a b c (Å): 5.1118 5.1118 12.1135
angles (deg): 90.00 90.00 90.00
Last column: nearest neighbours and their distance in Å.
Space group P-4m2 (No. 115)
One atom of each set of equivalent atoms:
Ba  0.0000  0.5000  0.2409  6 Tl 3.88-3.90, 2 Al 3.88, 8 In 3.90-4.05
Al  0.5000  0.5000  0.0000  4 In 2.94
Tl  0.0000  0.0000  0.0000  4 In 2.94
Tl  0.0000  0.5000  0.6382  5 In 2.92-3.06
In  0.0000  0.0000  0.5000  4 Tl 3.06
In  0.0000  0.5000  0.8794  3 Tl 2.92-2.94, 2 Al 2.94
In  0.5000  0.5000  0.5000  4 Tl 3.06

=====

> Which value of energy does entry 5 give?

-13.72 eV for the cell shown

=====

> What is the formula in the third record?

BaSrAlIn